Here is a geometry-optimized La2SiHgO6 structure from the Alexandria database. Energies are from PBE-GGA.

a = 4.9631 Å, b = 5.4385 Å, c = 5.4385 Å
α = 90.00°, β = 90.00°, γ = 90.00°
Closest atoms and distances in Å follow each position.
Sites, in units of the cell vectors:
La 0.0110 0.0000 0.5000  4 O 2.40
La 0.0110 0.5000 0.0000  4 O 2.40
O 0.7266 0.2184 0.7816  1 Si 1.77
O 0.7266 0.7816 0.2184  1 Si 1.77
O 0.7266 0.2184 0.2184  1 Si 1.77
O 0.2748 0.0000 0.0000  1 Si 1.67
O 0.7266 0.7816 0.7816  1 Si 1.77
O 0.1009 0.5000 0.5000  1 Hg 2.14
Si 0.6113 0.0000 0.0000  5 O 1.67-1.77
Hg 0.5313 0.5000 0.5000  5 O 2.14-2.37

Output
Uncorrected energy   -70.22 eV per cell
Formation energy from raw total energies   -2489 meV per atom
Spin magnetization   0.00 μB per formula unit
Symmetry   No. 99

---

Here is a geometry-optimized AgAs2 structure from the Alexandria database. Energies are from PBE-GGA.

a = 4.8776 Å, b = 4.8776 Å, c = 2.8496 Å
α = 90.00°, β = 90.00°, γ = 120.00°
Closest atoms and distances in Å follow each position.
Sites, in units of the cell vectors:
As 0.6667 0.3333 0.5003  5 As 2.82-2.85
As 0.3333 0.6667 0.4997  5 As 2.82-2.85
Ag 0.0000 0.0000 0.0000  2 Ag 2.85, 12 As 3.16

Output
Uncorrected energy   -11.28 eV per cell
Spin magnetization   0.00 μB per formula unit
Symmetry   No. 191

---

Here is a geometry-optimized Al2AgPbSe4 structure from the Alexandria database. Energies are from PBE-GGA.

a = 5.9998 Å, b = 5.9998 Å, c = 7.5374 Å
α = 110.61°, β = 110.61°, γ = 96.64°
Closest atoms and distances in Å follow each position.
Sites, in units of the cell vectors:
Se 0.1110 0.1110 0.6938  2 Al 2.52, 1 Ag 2.71
Se 0.8663 0.4172 0.2836  2 Al 2.50, 1 Ag 2.71
Se 0.4172 0.8663 0.2836  2 Al 2.50, 1 Ag 2.71
Se 0.5830 0.5830 0.6940  2 Al 2.52, 1 Ag 2.71
Ag 0.4995 0.4995 0.9991  4 Se 2.71
Pb 0.0079 0.0079 0.0156  4 Se 2.94-3.01
Al 0.2577 0.7577 0.5155  4 Se 2.50-2.52
Al 0.7577 0.2577 0.5155  4 Se 2.50-2.52

Output
Uncorrected energy   -31.56 eV per cell
Formation energy from raw total energies   -447 meV per atom
Spin magnetization   0.00 μB per formula unit
Symmetry   No. 42

---

Here is a geometry-optimized NaGe2Pd structure from the Alexandria database. Energies are from PBE-GGA.

a = 4.2644 Å, b = 4.2644 Å, c = 5.9273 Å
α = 68.92°, β = 68.92°, γ = 60.00°
Closest atoms and distances in Å follow each position.
Sites, in units of the cell vectors:
Ge 0.2840 0.2840 0.1479  3 Pd 2.64, 3 Ge 2.92
Ge 0.0476 0.0476 0.8572  3 Pd 2.54
Pd 0.6755 0.6755 0.9736  6 Ge 2.54-2.64
Na 0.4929 0.4929 0.5213  1 Pd 2.95, 6 Ge 3.06-3.18

Output
Uncorrected energy   -16.77 eV per cell
Spin magnetization   0.00 μB per formula unit
Symmetry   No. 160

---

Here is a geometry-optimized In2MoCl structure from the Alexandria database. Energies are from PBE-GGA.

a = 6.3759 Å, b = 6.3759 Å, c = 6.3759 Å
α = 152.98°, β = 131.63°, γ = 56.27°
Closest atoms and distances in Å follow each position.
Sites, in units of the cell vectors:
Cl 0.3117 0.8117 0.5000  2 Mo 2.45
In 0.7061 0.2061 0.5000  2 Mo 2.90, 2 In 2.98, 4 Cl 3.23
In 0.9970 0.9970 0.0000  2 In 2.98, 4 Mo 3.01
Mo 0.4852 0.4852 0.0000  2 Cl 2.45

Output
Uncorrected energy   -17.72 eV per cell
Formation energy from raw total energies   109 meV per atom
Spin magnetization   0.00 μB per formula unit
Symmetry   No. 44

---

Here is a geometry-optimized Ca2Ac7Os2 structure from the Alexandria database. Energies are from PBE-GGA.

a = 4.0692 Å, b = 11.0322 Å, c = 11.0322 Å
α = 63.24°, β = 79.37°, γ = 79.37°
Closest atoms and distances in Å follow each position.
Sites, in units of the cell vectors:
Os 0.3077 0.2758 0.1088  6 Ac 2.98-3.11
Os 0.6923 0.8912 0.7242  6 Ac 2.98-3.11
Ac 0.1659 0.7341 0.9342  2 Os 2.98
Ac 0.6794 0.4133 0.2280  2 Os 3.11
Ac 0.8510 0.4082 0.8898  2 Os 2.98
Ac 0.1490 0.1102 0.5918  2 Os 2.98
Ac 0.5000 0.0521 0.9479  2 Os 3.55
Ac 0.8341 0.0658 0.2659  2 Os 2.98
Ac 0.3206 0.7720 0.5867  2 Os 3.11
Ca 0.0000 0.7093 0.2907  6 Ac 3.76-4.10, 4 Ca 3.90-4.07
Ca 0.5000 0.4218 0.5782  7 Ac 3.84-4.28, 4 Ca 3.90-4.07

Output
Uncorrected energy   -54.80 eV per cell
Spin magnetization   0.00 μB per formula unit
Symmetry   No. 44

---

Here is a geometry-optimized K2SmDySe4 structure from the Alexandria database. Energies are from PBE-GGA.

a = 4.2566 Å, b = 7.3716 Å, c = 8.0744 Å
α = 107.71°, β = 90.00°, γ = 90.00°
Closest atoms and distances in Å follow each position.
Sites, in units of the cell vectors:
Se 0.5000 0.2405 0.2079  1 Dy 2.90, 2 Sm 2.95
Se 0.0000 0.2693 0.7942  2 Dy 2.91, 1 Sm 2.95
Se 0.0000 0.7307 0.2058  2 Dy 2.91, 1 Sm 2.95
Se 0.5000 0.7595 0.7921  1 Dy 2.90, 2 Sm 2.95
Dy 0.5000 0.5000 0.0000  6 Se 2.90-2.91
Sm 0.0000 0.0000 0.0000  6 Se 2.95
K 0.0000 0.5000 0.5000  6 Se 3.32
K 0.5000 0.0000 0.5000  6 Se 3.35

Output
Uncorrected energy   -39.54 eV per cell
Formation energy from raw total energies   -1761 meV per atom
Spin magnetization   0.00 μB per formula unit
Symmetry   No. 10

---

Here is a geometry-optimized Zr2TaSi structure from the Alexandria database. Energies are from PBE-GGA.

a = 9.3752 Å, b = 9.3752 Å, c = 9.3752 Å
α = 19.43°, β = 19.43°, γ = 19.43°
Closest atoms and distances in Å follow each position.
Sites, in units of the cell vectors:
Si 0.2500 0.2500 0.2500  6 Zr 2.84, 6 Si 3.16
Zr 0.5047 0.5047 0.5047  3 Si 2.84, 3 Ta 3.04, 6 Zr 3.16
Zr 0.9953 0.9953 0.9953  3 Si 2.84, 3 Ta 3.04, 6 Zr 3.16
Ta 0.7500 0.7500 0.7500  6 Zr 3.04, 6 Ta 3.16

Output
Uncorrected energy   -34.52 eV per cell
Formation energy from raw total energies   -36 meV per atom
Spin magnetization   0.00 μB per formula unit
Symmetry   No. 166

---

Here is a geometry-optimized Pr3Dy6ErTh2 structure from the Alexandria database. Energies are from PBE-GGA.

a = 6.2182 Å, b = 6.2182 Å, c = 11.8379 Å
α = 95.03°, β = 95.03°, γ = 119.96°
Closest atoms and distances in Å follow each position.
Sites, in units of the cell vectors:
Pr 0.1665 0.8335 0.5000  6 Pr 3.59, 6 Dy 3.62-3.64
Pr 0.8335 0.1665 0.5000  6 Pr 3.59, 6 Dy 3.62-3.64
Pr 0.5000 0.5000 0.5000  6 Pr 3.59, 6 Dy 3.62-3.64
Th 0.3335 0.6665 0.0000  6 Dy 3.51, 3 Th 3.59, 3 Er 3.59
Th 0.6665 0.3335 0.0000  6 Dy 3.51, 3 Th 3.59, 3 Er 3.59
Dy 0.0813 0.4183 0.2438  2 Th 3.51, 1 Er 3.53, 6 Dy 3.57-3.63, 3 Pr 3.62-3.64
Dy 0.5817 0.9187 0.7562  2 Th 3.51, 1 Er 3.53, 6 Dy 3.57-3.63, 3 Pr 3.62-3.64
Dy 0.9187 0.5817 0.7562  2 Th 3.51, 1 Er 3.53, 6 Dy 3.57-3.63, 3 Pr 3.62-3.64
Dy 0.2558 0.2558 0.7558  2 Th 3.51, 1 Er 3.54, 6 Dy 3.57-3.63, 3 Pr 3.62-3.64
Dy 0.4183 0.0813 0.2438  2 Th 3.51, 1 Er 3.53, 6 Dy 3.57-3.63, 3 Pr 3.62-3.64
Dy 0.7442 0.7442 0.2442  2 Th 3.51, 1 Er 3.54, 6 Dy 3.57-3.63, 3 Pr 3.62-3.64
Er 0.0000 0.0000 0.0000  6 Dy 3.53-3.54, 6 Th 3.59

Output
Uncorrected energy   -61.13 eV per cell
Spin magnetization   0.00 μB per formula unit
Symmetry   No. 12

---

Here is a geometry-optimized Ti4NbIr2 structure from the Alexandria database. Energies are from PBE-GGA.

a = 5.3821 Å, b = 5.3821 Å, c = 5.3821 Å
α = 112.07°, β = 108.19°, γ = 108.19°
Closest atoms and distances in Å follow each position.
Sites, in units of the cell vectors:
Ti 0.0000 0.5000 0.0000  2 Nb 2.69, 4 Ir 2.69, 2 Ti 3.01
Ti 0.5000 0.0000 0.0000  4 Ir 2.69, 2 Nb 2.69, 2 Ti 3.01
Ti 0.0000 0.0000 0.5000  4 Ir 2.69, 2 Nb 2.69, 2 Ti 3.01
Ti 0.5000 0.5000 0.5000  4 Ir 2.69, 2 Nb 2.69, 2 Ti 3.01
Ir 0.5000 0.5000 0.0000  8 Ti 2.69, 2 Ir 3.01
Ir 0.5000 0.0000 0.5000  8 Ti 2.69, 2 Ir 3.01
Nb 0.0000 0.0000 0.0000  8 Ti 2.69

Output
Uncorrected energy   -62.23 eV per cell
Spin magnetization   0.00 μB per formula unit
Symmetry   No. 139

---

Here is a geometry-optimized SiNiTe2N structure from the Alexandria database. Energies are from PBE-GGA.

a = 5.4418 Å, b = 5.4418 Å, c = 3.2411 Å
α = 90.00°, β = 90.00°, γ = 90.00°
Closest atoms and distances in Å follow each position.
Sites, in units of the cell vectors:
N 0.0000 0.0000 0.5000  2 Si 1.62
Te 0.5000 0.0000 0.0000  2 Si 2.72
Te 0.0000 0.5000 0.0000  2 Si 2.72
Si 0.0000 0.0000 0.0000  2 N 1.62
Ni 0.5000 0.5000 0.5000  8 Te 3.17, 2 Ni 3.24

Output
Uncorrected energy   -23.56 eV per cell
Formation energy from raw total energies   450 meV per atom
Spin magnetization   0.00 μB per formula unit
Symmetry   No. 123

---

Here is a geometry-optimized Rb2AlTcBr6 structure from the Alexandria database. Energies are from PBE-GGA.

a = 7.6982 Å, b = 7.6982 Å, c = 7.6910 Å
α = 59.97°, β = 59.97°, γ = 90.00°
Closest atoms and distances in Å follow each position.
Sites, in units of the cell vectors:
Br 0.2385 0.2385 0.0000  1 Tc 2.60, 1 Al 2.85
Br 0.7615 0.2385 0.0000  1 Tc 2.60, 1 Al 2.85
Br 0.7615 0.7615 0.0000  1 Tc 2.60, 1 Al 2.85
Br 0.2385 0.7615 0.0000  1 Tc 2.60, 1 Al 2.85
Br 0.7609 0.7609 0.4783  1 Tc 2.60, 1 Al 2.83
Br 0.2391 0.2391 0.5217  1 Tc 2.60, 1 Al 2.83
Tc 0.0000 0.0000 0.0000  6 Br 2.60
Rb 0.2500 0.7500 0.5000  12 Br 3.85
Rb 0.7500 0.2500 0.5000  12 Br 3.85
Al 0.5000 0.5000 0.0000  6 Br 2.83-2.85

Output
Uncorrected energy   -34.72 eV per cell
Formation energy from raw total energies   -864 meV per atom
Spin magnetization   2.00 μB per formula unit
Symmetry   No. 139